# PBE CoRu3Cl, relaxed
data_CoRu3Cl
_cell_length_a 4.572
_cell_length_b 4.572
_cell_length_c 4.572
_cell_angle_alpha 90.00
_cell_angle_beta 90.00
_cell_angle_gamma 90.00
_space_group_name_H-M_alt 'P m -3 m'
_space_group_IT_number 221
_space_group_name_Hall '-P 4 2 3'
loop_
_atom_site_label
_atom_site_fract_x
_atom_site_fract_y
_atom_site_fract_z
_atom_site_occupancy
Co1 0.000 0.000 0.000 1
Ru1 0.000 0.000 0.500 1
Cl1 0.500 0.500 0.500 1
# magnetization	8.03	μB/cell
# formation energy (no corrections)	1.614	eV/atom